# BeCdTe2 | Alexandria via LeMat-Bulk | GGA-PBE | optimized geometry
data_BeCdTe2
_chemical_formula_sum 'Be1 Cd1 Te2'
_symmetry_space_group_name_H-M 'P 1'
_symmetry_Int_Tables_number 1
_cell_length_a 5.0261
_cell_length_b 5.0261
_cell_length_c 3.8304
_cell_angle_alpha 90.00
_cell_angle_beta 90.00
_cell_angle_gamma 99.96
loop_
_symmetry_equiv_pos_as_xyz
'x,y,z'
loop_
_atom_site_label
_atom_site_fract_x
_atom_site_fract_y
_atom_site_fract_z
_atom_site_occupancy
Cd1 0.0000 0.5000 0.5000 1
Te1 0.5000 0.5000 0.0000 1
Te2 0.0000 0.0000 0.0000 1
Be1 0.5000 0.0000 0.5000 1
# E_form (uncorrected)   0.5055 eV per atom
# Theoretical density   6.56 g/cm³
# Calculated volume   23.8 Å³/atom